Crystalline Zn2Co2Bi at its relaxed geometry. Source: the Alexandria database, functional PBE.

Lattice parameters (Å, degrees): 7.2616 7.2616 2.9750 90.00 90.00 90.00
Fractional positions:
Zn (0.1228, 0.3772, 0.0000)
Zn (0.3772, 0.8772, 0.0000)
Zn (0.6228, 0.1228, 0.0000)
Zn (0.8772, 0.6228, 0.0000)
Co (0.1669, 0.6669, 0.5000)
Co (0.3331, 0.1669, 0.5000)
Co (0.6669, 0.8331, 0.5000)
Co (0.8331, 0.3331, 0.5000)
Bi (0.0000, 0.0000, 0.0000)
Bi (0.5000, 0.5000, 0.0000)

magnetization	0.269	μB per atom
energy above the most stable polymorph in this dataset	82	meV/atom
energy of formation from the pure elements	1.746	eV per formula unit

***

Crystalline ZrNF at its relaxed geometry. Source: the Alexandria database, functional PBE.

Lattice parameters (Å, degrees): 3.0488 3.2944 7.9937 90.00 90.89 90.00
Fractional positions:
Zr (0.2436, 0.2500, 0.1669)
Zr (0.7564, 0.7500, 0.8331)
N (0.2418, 0.2500, 0.8889)
N (0.7582, 0.7500, 0.1111)
F (0.2546, 0.7500, 0.6382)
F (0.7454, 0.2500, 0.3618)

magnetization	0.000	μB per atom
uncorrected formation energy	-2.298	eV per atom

***

Crystalline TcNiP at its relaxed geometry. Source: the Alexandria database, functional PBE.

Lattice parameters (Å, degrees): 4.1936 2.9383 6.3366 90.00 99.46 90.00
Fractional positions:
Tc (0.0000, 0.0000, 0.0000)
Tc (0.0974, 0.5000, 0.3705)
Ni (0.5320, 0.5000, 0.0899)
Ni (0.6572, 0.5000, 0.6526)
P (0.1903, 0.5000, 0.7611)
P (0.5923, 0.0000, 0.3614)

magnetization	0.000	μB per atom
energy above the most stable polymorph in this dataset	190	meV/atom
energy of formation from the pure elements	-0.935	eV per formula unit

***

Crystalline Sm6SnRh2 at its relaxed geometry. Source: the Alexandria database, functional PBE.

Lattice parameters (Å, degrees): 8.6879 8.6879 8.6879 113.43 110.73 104.39
Fractional positions:
Sm (0.0334, 0.2344, 0.7991)
Sm (0.1811, 0.2920, 0.4732)
Sm (0.1811, 0.7080, 0.8891)
Sm (0.3292, 0.0204, 0.6912)
Sm (0.3292, 0.6379, 0.3088)
Sm (0.4353, 0.2344, 0.2009)
Sm (0.5647, 0.7656, 0.7991)
Sm (0.6708, 0.3621, 0.6912)
Sm (0.6708, 0.9796, 0.3088)
Sm (0.8189, 0.2920, 0.1109)
Sm (0.8189, 0.7080, 0.5268)
Sm (0.9666, 0.7656, 0.2009)
Sn (0.0000, 0.0000, 0.0000)
Sn (0.5000, 0.5000, 0.0000)
Rh (0.1329, 0.6329, 0.5000)
Rh (0.3362, 0.0000, 0.3362)
Rh (0.6638, 0.0000, 0.6638)
Rh (0.8671, 0.3671, 0.5000)

magnetization	0.000	μB per atom
energy of formation from the pure elements	-5.145	eV per formula unit

***

Crystalline Mo3Os at its relaxed geometry. Source: the Alexandria database, functional PBE.

Lattice parameters (Å, degrees): 4.9975 4.9975 4.9975 90.00 90.00 90.00
Fractional positions:
Mo (0.0000, 0.2500, 0.5000)
Mo (0.0000, 0.7500, 0.5000)
Mo (0.2500, 0.5000, 0.0000)
Mo (0.5000, 0.0000, 0.2500)
Mo (0.5000, 0.0000, 0.7500)
Mo (0.7500, 0.5000, 0.0000)
Os (0.0000, 0.0000, 0.0000)
Os (0.5000, 0.5000, 0.5000)

magnetization	0.000	μB per atom
energy above the most stable polymorph in this dataset	0	meV/atom
energy of formation from the pure elements	0.005	eV per formula unit

***

Crystalline Zn4Ni3Pt2 at its relaxed geometry. Source: the Alexandria database, functional PBE.

Lattice parameters (Å, degrees): 4.5135 4.5135 7.9147 104.57 104.57 50.23
Fractional positions:
Zn (0.0121, 0.0121, 0.3417)
Zn (0.3376, 0.3376, 0.1117)
Zn (0.6624, 0.6624, 0.8883)
Zn (0.9879, 0.9879, 0.6583)
Ni (0.0000, 0.0000, 0.0000)
Ni (0.3372, 0.3372, 0.4456)
Ni (0.6628, 0.6628, 0.5544)
Pt (0.3265, 0.3265, 0.7748)
Pt (0.6735, 0.6735, 0.2252)

magnetization	0.000	μB per atom
energy of formation from the pure elements	-2.951	eV per formula unit